# 1
A relaxed Na2Rh3O8 crystal, computed with PBE.

Unit cell a=6.461 b=6.461 c=5.257 alpha=108.10 beta=108.10 gamma=57.76
Positions (direct):
1 Na 0.221 0.221 0.163
2 Na 0.779 0.779 0.837
3 Rh 0.240 0.760 0.500
4 Rh 0.500 0.500 0.000
5 Rh 0.760 0.240 0.500
6 O 0.103 0.103 0.466
7 O 0.185 0.623 0.114
8 O 0.377 0.815 0.886
9 O 0.405 0.405 0.591
10 O 0.595 0.595 0.409
11 O 0.623 0.185 0.114
12 O 0.815 0.377 0.886
13 O 0.897 0.897 0.534

Output
Calculated volume = 173.5 Å³/f.u.
Uncorrected formation energy = -0.9021 eV per atom
Mass density = 4.6 g cm⁻³
Crystal system = monoclinic



# 2
A relaxed NaRuRh2O8 crystal, computed with PBE.

Unit cell a=4.653 b=6.280 c=4.674 alpha=90.00 beta=91.73 gamma=90.00
Positions (direct):
1 Na 0.000 0.000 0.000
2 Ru 0.000 0.500 0.000
3 Rh 0.500 0.249 0.500
4 Rh 0.500 0.751 0.500
5 O 0.205 0.282 0.201
6 O 0.205 0.718 0.201
7 O 0.297 0.500 0.699
8 O 0.321 0.000 0.674
9 O 0.679 0.000 0.326
10 O 0.703 0.500 0.301
11 O 0.795 0.282 0.799
12 O 0.795 0.718 0.799

Output
Calculated volume = 136.5 Å³/f.u.
Uncorrected formation energy = -0.7850 eV per atom
Mass density = 5.6 g cm⁻³
Crystal system = monoclinic



# 3
A relaxed Na2RuRhO6 crystal, computed with PBE.

Unit cell a=5.484 b=5.484 c=3.969 alpha=90.00 beta=90.00 gamma=90.00
Positions (direct):
1 Na 0.000 0.500 0.000
2 Na 0.500 0.000 0.000
3 Ru 0.000 0.000 0.513
4 Rh 0.500 0.500 0.531
5 O 0.000 0.000 0.047
6 O 0.245 0.245 0.561
7 O 0.245 0.755 0.561
8 O 0.500 0.500 0.044
9 O 0.755 0.245 0.561
10 O 0.755 0.755 0.561

Output
Calculated volume = 119.4 Å³/f.u.
Uncorrected formation energy = -0.9251 eV per atom
Mass density = 4.8 g cm⁻³
Crystal system = tetragonal



# 4
A relaxed Na2RuRh2O6 crystal, computed with PBE.

Unit cell a=5.416 b=5.416 c=5.694 alpha=99.22 beta=99.22 gamma=120.78
Positions (direct):
1 Na 0.170 0.830 0.000
2 Na 0.830 0.170 0.000
3 Ru 0.000 0.000 0.500
4 Rh 0.336 0.664 0.500
5 Rh 0.664 0.336 0.500
6 O 0.056 0.394 0.688
7 O 0.256 0.256 0.305
8 O 0.394 0.056 0.688
9 O 0.606 0.944 0.312
10 O 0.744 0.744 0.695
11 O 0.944 0.606 0.312

Output
Calculated volume = 135.8 Å³/f.u.
Uncorrected formation energy = -1.0387 eV per atom
Mass density = 5.5 g cm⁻³
Crystal system = monoclinic